Here is a relaxed structure of Dy4MgGa3 from the Alexandria database. Energies are from PBE.

Summary:
* uncorrected energy: -65.5 eV/cell

Cell lengths 5.113, 7.203, 10.228 Å; angles 90.00, 90.00, 90.00 degrees
Positions (direct):
Mg 0.000 0.500 0.500
Dy 0.000 0.757 0.750
Dy 0.500 0.243 0.500
Mg 0.000 0.500 0.000
Dy 0.000 0.757 0.250
Ga 0.500 0.500 0.750
Ga 0.000 0.000 0.500
Dy 0.000 0.243 0.250
Ga 0.500 0.000 0.250
Dy 0.500 0.243 0.000
Ga 0.500 0.500 0.250
Dy 0.500 0.757 0.000
Ga 0.500 0.000 0.750
Dy 0.500 0.757 0.500
Ga 0.000 0.000 0.000
Dy 0.000 0.243 0.750

---

Here is a relaxed structure of SbPbSeN2 from the Alexandria database. Energies are from PBE.

Summary:
* uncorrected energy: -20.1 eV/cell
* formation energy from raw total energies: 1.58 eV/atom
* ΔE to the lowest computed polymorph: 0.612 eV/atom

Cell lengths 4.533, 4.533, 5.742 Å; angles 90.00, 90.00, 90.00 degrees
Positions (direct):
Sb 0.500 0.500 0.500
N 0.000 0.500 0.000
Se 0.000 0.000 0.500
Pb 0.000 0.000 0.000
N 0.500 0.000 0.000

---

Here is a relaxed structure of SmSc2AlPt4 from the Alexandria database. Energies are from PBE.

Summary:
* uncorrected energy: -54.5 eV/cell

Cell lengths 4.556, 4.556, 8.761 Å; angles 74.93, 74.93, 60.00 degrees
Positions (direct):
Sm 0.000 0.000 0.000
Pt 0.868 0.868 0.396
Pt 0.602 0.602 0.195
Sc 0.242 0.242 0.275
Pt 0.398 0.398 0.805
Sc 0.758 0.758 0.725
Pt 0.132 0.132 0.604
Al 0.500 0.500 0.500

---

Here is a relaxed structure of ZnCuNi2 from the Alexandria database. Energies are from PBE.

Summary:
* uncorrected energy: -17.3 eV/cell

Cell lengths 4.393, 4.393, 4.411 Å; angles 79.72, 79.72, 34.05 degrees
Positions (direct):
Ni 0.000 0.000 0.997
Cu 0.750 0.750 0.750
Zn 0.250 0.250 0.250
Ni 0.500 0.500 0.503

---

Here is a relaxed structure of ErGaTc from the Alexandria database. Energies are from PBE.

Summary:
* uncorrected energy: -18.6 eV/cell
* ΔE to the lowest computed polymorph: 0.241 eV/atom

Cell lengths 3.636, 4.343, 4.343 Å; angles 120.00, 90.00, 90.00 degrees
Positions (direct):
Ga 0.167 0.000 0.000
Er 0.667 0.667 0.333
Tc 0.167 0.333 0.667

---

Here is a relaxed structure of LiCdPdCl6 from the Alexandria database. Energies are from PBE.

Summary:
* uncorrected energy: -54.1 eV/cell
* formation energy from raw total energies: -0.88 eV/atom

Cell lengths 6.224, 6.224, 11.113 Å; angles 90.00, 90.00, 90.00 degrees
Positions (direct):
Cl 0.800 0.200 0.839
Li 0.500 0.500 0.499
Cl 0.679 0.679 0.673
Cl 0.300 0.300 0.339
Li 0.000 0.000 0.999
Cl 0.817 0.183 0.486
Cl 0.317 0.317 0.986
Cl 0.321 0.321 0.673
Cl 0.183 0.817 0.486
Pd 0.000 0.000 0.332
Cl 0.179 0.821 0.173
Cl 0.683 0.683 0.986
Cd 0.500 0.500 0.173
Cl 0.200 0.800 0.839
Cd 0.000 0.000 0.673
Cl 0.821 0.179 0.173
Pd 0.500 0.500 0.832
Cl 0.700 0.700 0.339

---

Here is a relaxed structure of HgOs2Ru from the Alexandria database. Energies are from PBE.

Summary:
* uncorrected energy: -29.1 eV/cell

Cell lengths 5.752, 5.752, 5.752 Å; angles 152.15, 132.69, 55.78 degrees
Positions (direct):
Ru 0.750 0.250 0.500
Hg 0.250 0.750 0.500
Os 0.970 0.970 0.000
Os 0.530 0.530 0.000

---

Here is a relaxed structure of Ca4Sm3TmSe8 from the Alexandria database. Energies are from PBE.

Summary:
* uncorrected energy: -84.6 eV/cell
* formation energy from raw total energies: -1.88 eV/atom

Cell lengths 8.274, 8.386, 8.274 Å; angles 119.56, 120.00, 90.00 degrees
Positions (direct):
Sm 0.500 0.500 0.000
Ca 0.000 0.000 0.000
Se 0.754 0.252 0.998
Se 0.249 0.246 0.498
Se 0.246 0.748 0.492
Sm 0.000 0.500 0.500
Ca 0.500 0.000 0.000
Ca 0.000 0.000 0.500
Se 0.754 0.252 0.508
Se 0.243 0.252 0.998
Sm 0.500 0.500 0.500
Se 0.751 0.754 0.502
Se 0.757 0.748 0.002
Tm 0.000 0.500 0.000
Ca 0.500 0.000 0.500
Se 0.246 0.748 0.002

---

Here is a relaxed structure of LaBeGaAg2 from the Alexandria database. Energies are from PBE.

Summary:
* uncorrected energy: -18.0 eV/cell

Cell lengths 4.708, 4.708, 4.561 Å; angles 90.00, 90.00, 90.00 degrees
Positions (direct):
Be 0.000 0.000 0.000
Ga 0.000 0.000 0.500
Ag 0.000 0.500 0.000
Ag 0.500 0.000 0.000
La 0.500 0.500 0.500

---

Here is a relaxed structure of Sr2LiCa from the Alexandria database. Energies are from PBE.

Summary:
* uncorrected energy: -6.8 eV/cell
* ΔE to the lowest computed polymorph: 0.095 eV/atom

Cell lengths 6.273, 6.273, 6.273 Å; angles 60.00, 60.00, 60.00 degrees
Positions (direct):
Sr 0.000 0.000 0.000
Sr 0.250 0.250 0.250
Li 0.750 0.750 0.750
Ca 0.500 0.500 0.500

---

Here is a relaxed structure of NdNi2PH from the Alexandria database. Energies are from PBE.

Summary:
* uncorrected energy: -57.9 eV/cell

Cell lengths 3.777, 5.498, 6.660 Å; angles 90.00, 90.00, 110.09 degrees
Positions (direct):
Nd 0.442 0.885 0.750
Ni 0.170 0.341 0.560
P 0.724 0.448 0.750
H 0.000 0.000 0.000
P 0.276 0.552 0.250
Nd 0.558 0.115 0.250
Ni 0.830 0.659 0.440
Ni 0.170 0.341 0.940
H 0.000 0.000 0.500
Ni 0.830 0.659 0.060

---

Here is a relaxed structure of PmBePtO5 from the Alexandria database. Energies are from PBE.

Summary:
* uncorrected energy: -109.2 eV/cell
* formation energy from raw total energies: -1.91 eV/atom

Cell lengths 5.511, 5.511, 6.964 Å; angles 103.05, 103.05, 108.68 degrees
Positions (direct):
O 0.394 0.252 0.075
Pm 0.351 0.649 0.250
O 0.101 0.682 0.887
Be 0.306 0.694 0.750
O 0.682 0.101 0.387
Be 0.694 0.306 0.250
O 0.606 0.748 0.925
O 0.910 0.090 0.750
O 0.252 0.394 0.575
Pt 0.000 0.000 0.000
O 0.748 0.606 0.425
Pm 0.649 0.351 0.750
O 0.090 0.910 0.250
O 0.899 0.318 0.113
Pt 0.000 0.000 0.500
O 0.318 0.899 0.613